(1)
Density functional theory data (PBE) for a geometry-optimized Ac3Si8Ir3 structure.

The structure in POSCAR format:
```
Ac3Si8Ir3
1.0
-2.0905 5.2986 6.1043
2.0905 -5.2986 6.1043
2.0905 5.2986 -6.1043
Ac Si Ir
3 8 3
direct
0.0000 0.0000 0.0000
0.3011 0.3011 0.0000
0.6989 0.6989 0.0000
0.0030 0.6611 0.3419
0.1730 0.8816 0.2914
0.3191 0.6611 0.6581
0.4098 0.1184 0.2914
0.5902 0.8816 0.7086
0.6809 0.3389 0.3419
0.8270 0.1184 0.7086
0.9970 0.3389 0.6581
0.2941 0.5000 0.7941
0.5000 0.0000 0.5000
0.7059 0.5000 0.2059
```

## Properties
Symmetry: Immm
V: 19.32 Å³ per atom
Formation energy from raw total energies: -0.4578 eV/atom



(2)
Density functional theory data (PBE) for a geometry-optimized Li2Ca2CuGe4 structure.

The structure in POSCAR format:
```
Li2Ca2CuGe4
1.0
-3.1039 3.1039 4.5178
3.1039 -3.1039 4.5178
3.1039 3.1039 -4.5178
Li Ca Cu Ge
2 2 1 4
direct
0.2161 0.2161 0.0000
0.7839 0.7839 0.0000
0.2500 0.7500 0.5000
0.7500 0.2500 0.5000
0.5000 0.5000 0.0000
0.2173 0.2173 0.4345
0.2173 0.7827 0.0000
0.7827 0.2173 0.0000
0.7827 0.7827 0.5655
```

## Properties
Calculated formation energy: -0.344 eV/atom
Symmetry: I4/mmm
V: 19.34 Å³ per atom



(3)
Density functional theory data (PBE) for a geometry-optimized YPuZnCo structure.

The structure in POSCAR format:
```
YPuZnCo
1.0
0.0000 3.4610 3.4610
3.4610 0.0000 3.4610
3.4610 3.4610 0.0000
Y Pu Zn Co
1 1 1 1
direct
0.0000 0.0000 0.0000
0.5000 0.5000 0.5000
0.7500 0.7500 0.7500
0.2500 0.2500 0.2500
```

## Properties
Calculated formation energy: -0.053 eV/atom
Symmetry: F-43m
V: 20.73 Å³ per atom



(4)
Density functional theory data (PBE) for a geometry-optimized BaCr2As structure.

The structure in POSCAR format:
```
BaCr2As
1.0
3.4086 0.0000 0.0000
0.0000 3.4086 0.0000
0.0000 0.0000 7.5386
Ba Cr As
1 2 1
direct
0.0000 0.0000 0.0000
0.0000 0.0000 0.5009
0.5000 0.5000 0.3514
0.5000 0.5000 0.6839
```

## Properties
Calculated formation energy: 0.221 eV/atom
Symmetry: P4mm
V: 21.90 Å³ per atom